No. 1
TmPaIrOs: optimized geometry, PBE.

Symmetry = F-43m (216)
ΔE_f = -502 meV per atom
Volume = 80 Å³/f.u.
Theoretical density = 16.15 Mg/m³

Unit cell a=4.8460 b=4.8460 c=4.8460 alpha=60.00 beta=60.00 gamma=60.00
Element x y z (fractional)
Tm1 0.7500 0.7500 0.7500
Pa1 0.2500 0.2500 0.2500
Os1 0.5000 0.5000 0.5000
Ir1 0.0000 0.0000 0.0000

***

No. 2
YPaIrOs: optimized geometry, PBE.

Symmetry = F-43m (216)
ΔE_f = -432 meV per atom
Volume = 82 Å³/f.u.
Theoretical density = 14.23 Mg/m³

Unit cell a=4.8755 b=4.8755 c=4.8755 alpha=60.00 beta=60.00 gamma=60.00
Element x y z (fractional)
Y1 0.7500 0.7500 0.7500
Pa1 0.2500 0.2500 0.2500
Os1 0.5000 0.5000 0.5000
Ir1 0.0000 0.0000 0.0000

***

Look up the volume of the first one. 80 Å³/f.u.

***

Please write out number 2 again, unchanged.
YPaIrOs: optimized geometry, PBE.

Symmetry = F-43m (216)
ΔE_f = -432 meV per atom
Volume = 82 Å³/f.u.
Theoretical density = 14.23 Mg/m³

Unit cell a=4.8755 b=4.8755 c=4.8755 alpha=60.00 beta=60.00 gamma=60.00
Element x y z (fractional)
Y1 0.7500 0.7500 0.7500
Pa1 0.2500 0.2500 0.2500
Os1 0.5000 0.5000 0.5000
Ir1 0.0000 0.0000 0.0000

***

What did the first record say?
TmPaIrOs: optimized geometry, PBE.

Symmetry = F-43m (216)
ΔE_f = -502 meV per atom
Volume = 80 Å³/f.u.
Theoretical density = 16.15 Mg/m³

Unit cell a=4.8460 b=4.8460 c=4.8460 alpha=60.00 beta=60.00 gamma=60.00
Element x y z (fractional)
Tm1 0.7500 0.7500 0.7500
Pa1 0.2500 0.2500 0.2500
Os1 0.5000 0.5000 0.5000
Ir1 0.0000 0.0000 0.0000